Run P
This record from Alexandria describes a relaxed structure of RhS2NO. The functional is PBE.

Geometry as POSCAR:
```
RhS2NO
1.0
4.801 0.000 0.000
0.000 4.801 0.000
0.000 0.000 3.698
Rh S N O
1 2 1 1
direct
0.000 0.000 0.000
0.000 0.500 0.000
0.500 0.000 0.000
0.500 0.500 0.500
0.000 0.000 0.500
```

Summary:
The size of the total moment is 0.1017 μB/atom.

***

Run Q
This record from Alexandria describes a relaxed structure of RhS2NO. The functional is PBE.

Geometry as POSCAR:
```
RhS2NO
1.0
4.770 0.000 0.000
0.000 4.770 0.000
0.000 0.000 3.616
Rh S N O
1 2 1 1
direct
0.000 0.000 0.000
0.000 0.500 0.000
0.500 0.000 0.000
0.000 0.000 0.500
0.500 0.500 0.500
```

Summary:
The size of the total moment is 0.1454 μB/atom.

***

Of them, the most stable is run P and the least stable is run Q.

***

Run P
This record from Alexandria describes a relaxed structure of Te2RhNO. The functional is PBE.

Geometry as POSCAR:
```
Te2RhNO
1.0
5.373 0.000 0.000
0.000 5.373 0.000
0.000 0.000 3.579
Te Rh N O
2 1 1 1
direct
0.000 0.500 0.000
0.500 0.000 0.000
0.000 0.000 0.000
0.000 0.000 0.500
0.500 0.500 0.500
```

Summary:
The size of the total moment is 0.0002 μB/atom.

***

Run Q
This record from Alexandria describes a relaxed structure of Te2RhNO. The functional is PBE.

Geometry as POSCAR:
```
Te2RhNO
1.0
4.760 0.000 0.000
0.000 4.760 0.000
0.000 0.000 3.612
Te Rh N O
2 1 1 1
direct
0.000 0.500 0.000
0.500 0.000 0.000
0.000 0.000 0.500
0.500 0.500 0.500
0.500 0.500 0.000
```

Summary:
The size of the total moment is 0.2887 μB/atom.

***

Of them, the most stable is run P and the least stable is run Q.

***

Run P
This record from Alexandria describes a relaxed structure of Ru2NO. The functional is PBE.

Geometry as POSCAR:
```
Ru2NO
1.0
0.000 2.713 2.713
2.713 0.000 2.713
2.713 2.713 0.000
Ru N O
2 1 1
direct
0.250 0.250 0.250
0.750 0.750 0.750
0.000 0.000 0.000
0.500 0.500 0.500
```

Summary:
The size of the total moment is 0.0000 μB/atom.

***

Run Q
This record from Alexandria describes a relaxed structure of Ru2NO. The functional is PBE.

Geometry as POSCAR:
```
Ru2NO
1.0
-2.285 2.285 4.712
2.285 -2.285 4.712
2.285 2.285 -4.712
Ru N O
4 2 2
direct
0.096 0.625 0.971
0.375 0.346 0.471
0.654 0.125 0.029
0.875 0.904 0.529
0.000 0.000 0.000
0.750 0.250 0.500
0.250 0.750 0.500
0.500 0.500 0.000
```

Summary:
The size of the total moment is 0.0000 μB/atom.

***

Of them, the most stable is run Q and the least stable is run P.

***

Run P
This record from Alexandria describes a relaxed structure of TcS2NO. The functional is PBE.

Geometry as POSCAR:
```
TcS2NO
1.0
3.967 0.000 0.000
0.000 3.967 0.000
0.000 0.000 3.768
Tc S N O
1 2 1 1
direct
0.000 0.000 0.000
0.000 0.500 0.500
0.500 0.000 0.500
0.500 0.500 0.000
0.500 0.500 0.500
```

Summary:
The size of the total moment is 0.0000 μB/atom.

***

Run Q
This record from Alexandria describes a relaxed structure of TcS2NO. The functional is PBE.

Geometry as POSCAR:
```
TcS2NO
1.0
4.636 0.000 0.000
0.000 4.636 0.000
0.000 0.000 3.713
Tc S N O
1 2 1 1
direct
0.000 0.000 0.000
0.000 0.500 0.000
0.500 0.000 0.000
0.000 0.000 0.500
0.500 0.500 0.500
```

Summary:
The size of the total moment is 0.0000 μB/atom.

***

Of them, the most stable is run Q and the least stable is run P.